## ErGaBi2 (PBE)

Data for crystalline ErGaBi2 at its relaxed geometry.

a = 4.1635 Å, b = 4.1635 Å, c = 6.3452 Å
α = 90.00°, β = 90.00°, γ = 90.00°
Closest atoms and distances in Å follow each position.
Sites, in units of the cell vectors:
Er 0.0000 0.0000 0.0000  2 Ga 3.17, 8 Bi 3.34
Ga 0.0000 0.0000 0.5000  2 Er 3.17, 8 Bi 3.35
Bi 0.5000 0.5000 0.2488  2 Bi 3.16-3.19, 4 Er 3.34, 4 Ga 3.35
Bi 0.5000 0.5000 0.7512  2 Bi 3.16-3.19, 4 Er 3.34, 4 Ga 3.35

Output
Formation enthalpy at 0 K ... -0.335 eV per atom
Space group ... P4/mmm (123)
Calculated total energy ... -16.69 eV per formula unit
N(E_F) ... 2.71 states/eV/f.u.
Distance to the lowest polymorph of the same formula ... 0.00 eV/f.u.

## ErGa2Bi (PBE)

Data for crystalline ErGa2Bi at its relaxed geometry.

a = 4.6091 Å, b = 4.6091 Å, c = 4.3732 Å
α = 90.00°, β = 90.00°, γ = 90.00°
Closest atoms and distances in Å follow each position.
Sites, in units of the cell vectors:
Er 0.0000 0.0000 0.0000  8 Ga 3.18, 4 Bi 3.26
Ga 0.0000 0.5000 0.5000  4 Bi 3.18, 4 Er 3.18, 4 Ga 3.26
Ga 0.5000 0.0000 0.5000  4 Bi 3.18, 4 Er 3.18, 4 Ga 3.26
Bi 0.5000 0.5000 0.0000  8 Ga 3.18, 4 Er 3.26

Output
Formation enthalpy at 0 K ... -0.380 eV per atom
Space group ... P4/mmm (123)
Calculated total energy ... -16.02 eV per formula unit
N(E_F) ... 1.31 states/eV/f.u.
Distance to the lowest polymorph of the same formula ... 0.00 eV/f.u.

## Er5GaBi5 (PBE)

Data for crystalline Er5GaBi5 at its relaxed geometry.

a = 6.8507 Å, b = 6.8507 Å, c = 10.0614 Å
α = 113.36°, β = 113.36°, γ = 53.89°
Closest atoms and distances in Å follow each position.
Sites, in units of the cell vectors:
Er 0.0000 0.0000 0.0000  4 Bi 3.10-3.12, 2 Ga 3.10
Er 0.3255 0.3255 0.6803  1 Ga 2.96, 4 Bi 3.06-3.11
Er 0.3360 0.3360 0.1472  1 Ga 2.97, 5 Bi 3.13-3.29
Er 0.6640 0.6640 0.8528  1 Ga 2.97, 5 Bi 3.13-3.29
Er 0.6745 0.6745 0.3197  1 Ga 2.96, 4 Bi 3.06-3.11
Ga 0.5000 0.5000 0.0000  6 Er 2.96-3.10
Bi 0.1391 0.1391 0.8063  5 Er 3.06-3.20
Bi 0.1765 0.1765 0.3386  5 Er 3.09-3.29, 1 Bi 3.46
Bi 0.5000 0.5000 0.5000  4 Er 3.21-3.36, 2 Bi 3.54
Bi 0.8235 0.8235 0.6614  5 Er 3.09-3.29, 1 Bi 3.46
Bi 0.8609 0.8609 0.1937  5 Er 3.06-3.20

Output
Formation enthalpy at 0 K ... -0.475 eV per atom
Space group ... C2/m (12)
Calculated total energy ... -50.47 eV per formula unit
N(E_F) ... 7.74 states/eV/f.u.

## ErGaBi2 (PBE)

Data for crystalline ErGaBi2 at its relaxed geometry.

a = 4.1537 Å, b = 4.1537 Å, c = 23.7644 Å
α = 90.00°, β = 90.00°, γ = 120.00°
Closest atoms and distances in Å follow each position.
Sites, in units of the cell vectors:
Er 0.0000 0.0000 0.0000  6 Bi 3.19
Er 0.3333 0.6667 0.6667  6 Bi 3.19
Er 0.6667 0.3333 0.3333  6 Bi 3.19
Ga 0.0000 0.0000 0.5000  6 Bi 3.03
Ga 0.3333 0.6667 0.1667  6 Bi 3.03
Ga 0.6667 0.3333 0.8333  6 Bi 3.03
Bi 0.0000 0.0000 0.2447  3 Ga 3.03, 3 Er 3.19
Bi 0.0000 0.0000 0.7553  3 Ga 3.03, 3 Er 3.19
Bi 0.3333 0.6667 0.4219  3 Ga 3.03, 3 Er 3.19
Bi 0.3333 0.6667 0.9114  3 Ga 3.03, 3 Er 3.19
Bi 0.6667 0.3333 0.0886  3 Ga 3.03, 3 Er 3.19
Bi 0.6667 0.3333 0.5781  3 Ga 3.03, 3 Er 3.19

Output
Formation enthalpy at 0 K ... -0.162 eV per atom
Space group ... R-3m (166)
Calculated total energy ... -16.00 eV per formula unit
N(E_F) ... 3.48 states/eV/f.u.
Distance to the lowest polymorph of the same formula ... 0.69 eV/f.u.